SrReSn3: optimized geometry, PBE.

abc: 5.656 5.656 5.656
angles: 90.00 90.00 90.00
Element x y z (fractional)
1 Sr 0.000 0.000 0.000
2 Sn 0.000 0.000 0.500
3 Sn 0.500 0.000 0.000
4 Sn 0.000 0.500 0.000
5 Re 0.500 0.500 0.500

## Properties
Size of the total moment   0.000 Bohr magnetons per cell
Crystal system   cubic
DFT formation energy   2.328 eV per atom
Total DFT energy (no corrections)   -2.8998 eV per atom
Density of states at the Fermi level   2.2665 states/eV/atom
Calculated volume   36.179 A^3/atom